# La2MnV2 PBE-GGA relaxed
data_La2MnV2
_chemical_formula_sum 'La4 Mn2 V4'
_cell_length_a 6.383
_cell_length_b 6.383
_cell_length_c 5.313
_cell_angle_alpha 90.00
_cell_angle_beta 90.00
_cell_angle_gamma 90.00
_space_group_name_H-M_alt 'P 4/m b m'
_space_group_IT_number 127
_space_group_name_Hall '-P 4 2ab'
loop_
_atom_site_label
_atom_site_type_symbol
_atom_site_fract_x
_atom_site_fract_y
_atom_site_fract_z
La1 La 0.176 0.324 0.000
Mn1 Mn 0.000 0.000 0.500
V1 V 0.151 0.651 0.500
# electronic total energy	-70.0	eV for the cell shown
# E above lowest polymorph	0.000	eV/atom

***

# Bi14Te13S8 PBE-GGA relaxed
data_Bi14Te13S8
_chemical_formula_sum 'Bi42 Te39 S24'
_cell_length_a 11.3091
_cell_length_b 11.3091
_cell_length_c 31.9979
_cell_angle_alpha 90.00
_cell_angle_beta 90.00
_cell_angle_gamma 120.00
_space_group_name_H-M_alt 'R -3'
_space_group_IT_number 148
_space_group_name_Hall '-R 3'
loop_
_atom_site_label
_atom_site_type_symbol
_atom_site_fract_x
_atom_site_fract_y
_atom_site_fract_z
Bi1 Bi 0.0000 0.0000 0.1091
Bi2 Bi 0.0437 0.8140 0.7795
Bi3 Bi 0.0521 0.8043 0.5594
Te1 Te 0.0000 0.0000 0.5000
Te2 Te 0.0521 0.8093 0.3873
Te3 Te 0.0620 0.8194 0.9474
S1 S 0.0000 0.0000 0.2633
S2 S 0.0433 0.8060 0.1659
# electronic total energy	-414.1	eV for the cell shown
# raw formation energy	-0.281	eV per atom

***

Total moment, record by record: 0.393; 0.000 μB/atom